Ti2NiBC: optimized geometry, GGA-PBE.

Lattice parameters (Å, degrees): 4.149 4.149 3.605 90.00 90.00 90.00
Space group P4/mmm (No. 123)
Inequivalent atoms, fractional coordinates:
Ti  0.000  0.500  0.000 x2
Ni  0.000  0.000  0.500 x1
B  0.000  0.000  0.000 x1
C  0.500  0.500  0.500 x1

Computed properties:
Energy of formation from the pure elements ... 0.517 eV per atom